First-principles (GGA-PBE) data for a relaxed structure of La2Zn3Pd5, as listed in the Alexandria database.

As for the total magnetization: 0.00 μB/f.u. For the formation energy, the calculation gives -676 meV per atom. The volume comes out at 770.7 Å³ per cell. As for the density: 8.67 g/cm3.

It has space group Ibam (No. 72), with a = 10.0042 Å, b = 13.4934 Å, c = 5.7094 Å, α = 90.00°, β = 90.00° and γ = 90.00°. The asymmetric unit holds La at (0.2407, 0.1382, 0.0000), Zn at (0.0000, 0.5000, 0.2500), Zn at (0.0705, 0.1533, 0.5000), Pd at (0.0000, 0.0000, 0.2500), Pd at (0.0000, 0.3040, 0.2500) and Pd at (0.1952, 0.4160, 0.0000).


First-principles (GGA-PBE) data for a relaxed structure of La3ZnPd, as listed in the Alexandria database.

As for the total magnetization: 0.00 μB/f.u. For the formation energy, the calculation gives -38 meV per atom. The volume comes out at 180.6 Å³ per cell. As for the density: 5.41 g/cm3.

It has space group Pm-3m (No. 221), with a = 5.6521 Å, b = 5.6521 Å, c = 5.6521 Å, α = 90.00°, β = 90.00° and γ = 90.00°. The asymmetric unit holds La at (0.0000, 0.0000, 0.5000), Zn at (0.5000, 0.5000, 0.5000) and Pd at (0.0000, 0.0000, 0.0000).